# 1
Computed, not measured: a relaxed Sc2TaPb crystal at the PBE level of DFT.

Computed properties:
The calculation puts the calculated volume at 87.9 Å³/f.u. For the total moment, the calculation gives 0.00 μB per formula unit. The value obtained for the energy of formation is 0.023 eV per atom.

```
Sc2TaPb
1.0
5.1813 0.0000 0.0000
0.0000 3.1079 -0.0345
0.0000 0.0608 5.4586
Pb Sc Ta
1 2 1
Cartesian
2.5907 1.9902 4.2916 Pb
0.0000 0.4464 5.2149 Sc
2.5907 0.4073 1.6682 Sc
0.0000 1.9700 2.4201 Ta
```


# 2
Computed, not measured: a relaxed ThGa4Pd15 crystal at the PBE level of DFT.

Computed properties:
The calculation puts the calculated volume at 317.2 Å³/f.u. For the total moment, the calculation gives 0.00 μB per formula unit. The value obtained for the energy of formation is -0.547 eV per atom.

```
ThGa4Pd15
1.0
4.0590 0.0000 0.0000
0.0000 4.0590 0.0000
0.0000 0.0000 19.2553
Th Ga Pd
1 4 15
Cartesian
0.0000 0.0000 0.0000 Th
0.0000 0.0000 4.1163 Ga
0.0000 0.0000 7.7791 Ga
0.0000 0.0000 11.4762 Ga
0.0000 0.0000 15.1391 Ga
2.0295 2.0295 0.0000 Pd
2.0295 2.0295 4.0180 Pd
2.0295 2.0295 7.7700 Pd
2.0295 2.0295 11.4853 Pd
2.0295 2.0295 15.2373 Pd
2.0295 0.0000 2.1431 Pd
2.0295 0.0000 5.9031 Pd
2.0295 0.0000 9.6277 Pd
2.0295 0.0000 13.3523 Pd
2.0295 0.0000 17.1122 Pd
0.0000 2.0295 2.1431 Pd
0.0000 2.0295 5.9031 Pd
0.0000 2.0295 9.6277 Pd
0.0000 2.0295 13.3523 Pd
0.0000 2.0295 17.1122 Pd
```


# 3
Computed, not measured: a relaxed Tb4Er4Th3 crystal at the PBE level of DFT.

Computed properties:
The calculation puts the calculated volume at 351.3 Å³/f.u. For the total moment, the calculation gives 0.00 μB per formula unit. The value obtained for the energy of formation is 0.071 eV per atom.

```
Tb4Er4Th3
1.0
-1.2444 0.5830 -3.2440
3.3910 -3.9991 -2.0202
-13.7648 -10.3992 5.3243
Tb Er Th
4 4 3
Cartesian
-3.0515 -2.0259 -1.1107 Tb
-7.0526 -6.7271 1.4984 Tb
-4.5656 -7.0885 -1.4383 Tb
-8.5664 -11.7893 1.1708 Tb
-0.0698 -2.7976 -2.3931 Er
-11.5483 -11.0179 2.4533 Er
-6.9912 -9.4001 -0.9167 Er
-4.6269 -4.4153 0.9768 Er
-1.6020 -5.1456 -0.3146 Th
-10.0160 -8.6697 0.3747 Th
-1.2443 0.5830 -3.2439 Th
```


# 4
Computed, not measured: a relaxed In3Ga8Sn3 crystal at the PBE level of DFT.

Computed properties:
The calculation puts the calculated volume at 326.2 Å³/f.u. For the total moment, the calculation gives 0.00 μB per formula unit. The value obtained for the energy of formation is 0.042 eV per atom.

```
In3Ga8Sn3
1.0
4.1946 0.0000 1.2783
1.9109 8.6617 1.2509
-0.3618 -2.0673 8.7084
In Ga Sn
3 8 3
Cartesian
0.7745 3.2972 4.9796 In
1.4677 6.5696 2.7050 In
0.0813 0.0248 7.2543 In
4.6328 6.7714 7.3615 Ga
1.1108 -0.1770 3.8761 Ga
1.8417 3.2731 1.4780 Ga
3.9020 3.3213 9.7596 Ga
2.8036 0.8005 5.8427 Ga
2.9401 5.7939 5.3949 Ga
2.2007 2.3034 7.8211 Ga
3.5430 4.2910 3.4165 Ga
2.0973 0.0000 0.6392 Sn
3.6346 1.3958 3.1158 Sn
2.1090 5.1985 8.1218 Sn
```


# 5
Computed, not measured: a relaxed KPmGeO4 crystal at the PBE level of DFT.

Computed properties:
Its energy relative to the elements, uncorrected is -2346.2 meV/atom. The calculation puts the calculated volume at 125.0 Å³/f.u. For the total moment, the calculation gives 0.00 μB per formula unit.

```
KPmGeO4
1.0
-1.6430 1.1224 -5.5486
-5.6617 0.0346 1.6835
1.0007 6.6555 3.2287
K Pm Ge O
2 2 2 8
Cartesian
-4.4395 6.9178 0.4712 K
-1.8645 0.8948 -1.1077 K
-5.0908 3.9345 -1.6579 Pm
-1.2132 3.8781 1.0215 Pm
-4.3343 2.5174 0.9155 Ge
-1.9697 5.2952 -1.5519 Ge
-3.5897 5.6492 -2.2394 O
-5.3193 2.1793 2.3775 O
-2.7144 2.1634 1.6030 O
-0.9847 5.6333 -3.0140 O
-4.7951 1.7861 -0.6193 O
-1.5089 6.0265 -0.0172 O
-4.4170 4.2687 0.6015 O
-1.8871 3.5438 -1.2379 O
```


# 6
Computed, not measured: a relaxed Pr2IN crystal at the PBE level of DFT.

Computed properties:
Its energy relative to the elements, uncorrected is -1179.5 meV/atom. The calculation puts the calculated volume at 98.7 Å³/f.u. For the total moment, the calculation gives 0.00 μB per formula unit.

```
Pr2IN
1.0
3.8365 0.0000 0.0000
1.9182 3.3225 0.0000
1.9182 1.1075 7.7456
Pr I N
2 1 1
Cartesian
1.9182 1.1075 6.4219 Pr
1.9182 1.1075 1.3327 Pr
3.8365 2.2150 3.8821 I
5.7547 3.3225 7.7275 N
```


# 7
Computed, not measured: a relaxed CoMo2Ir crystal at the PBE level of DFT.

Computed properties:
The calculation puts the calculated volume at 56.5 Å³/f.u. For the total moment, the calculation gives 0.00 μB per formula unit. The value obtained for the energy of formation is -0.120 eV per atom.

```
CoMo2Ir
1.0
-1.6294 -2.7815 -2.0850
2.3205 -1.4222 0.0839
0.6674 -3.8538 4.6196
Mo Ir Co
2 1 1
Cartesian
2.3040 -1.4437 0.1254 Mo
1.5103 -2.6165 2.3102 Mo
1.4262 -5.3478 2.4851 Ir
-0.0678 -2.7097 0.1334 Co
```


# 8
Computed, not measured: a relaxed Rb3Y2SnSe6 crystal at the PBE level of DFT.

Computed properties:
Its energy relative to the elements, uncorrected is -1388.2 meV/atom. The calculation puts the calculated volume at 376.5 Å³/f.u. For the total moment, the calculation gives 0.00 μB per formula unit.

```
Rb3Y2SnSe6
1.0
-5.3865 4.6582 1.9379
-1.3136 -5.2997 -4.9654
0.0550 -4.7425 6.8735
Rb Y Sn Se
3 2 1 6
Cartesian
-1.9617 -6.0192 -0.3836 Rb
-4.6834 0.6352 4.2295 Rb
-3.3225 -2.6920 1.9230 Rb
-2.6710 -1.9812 -2.6649 Y
-4.0292 1.3396 -0.3627 Y
0.0000 0.0000 0.0000 Sn
-5.7807 -2.6443 4.3634 Se
-4.8826 -1.3931 -0.8711 Se
-0.8644 -2.7398 -0.5174 Se
-4.4181 -5.9758 2.0538 Se
-1.7625 -3.9909 4.7170 Se
-2.2270 0.5917 1.7921 Se
```


# 9
Computed, not measured: a relaxed ScNiPtRh crystal at the PBE level of DFT.

Computed properties:
The calculation puts the calculated volume at 60.3 Å³/f.u. For the total moment, the calculation gives 0.00 μB per formula unit. The value obtained for the energy of formation is -0.563 eV per atom.

```
ScNiPtRh
1.0
-1.0889 3.2752 2.7334
-2.7649 -0.7501 3.3432
1.4992 0.0029 4.1396
Sc Ni Rh Pt
1 1 1 1
Cartesian
0.0000 0.0000 0.0000 Sc
-1.1773 1.2640 5.1081 Ni
-1.7659 1.8960 7.6622 Rh
-0.5886 0.6320 2.5541 Pt
```


# 10
Computed, not measured: a relaxed SrLaPSe crystal at the PBE level of DFT.

Computed properties:
Its energy relative to the elements, uncorrected is -1762.8 meV/atom. The calculation puts the calculated volume at 118.4 Å³/f.u. For the total moment, the calculation gives 0.00 μB per formula unit.

```
SrLaPSe
1.0
4.3630 0.0000 0.0000
2.1815 3.7785 0.0000
2.1815 1.2595 7.1832
Sr La P Se
1 1 1 1
Cartesian
4.3630 2.5190 3.5113 Sr
6.5445 3.7785 0.1460 La
2.1815 1.2595 1.6675 P
6.5445 3.7785 5.4501 Se
```


# 11
Computed, not measured: a relaxed Tb6Dy3ZrSc2 crystal at the PBE level of DFT.

Computed properties:
The calculation puts the calculated volume at 354.2 Å³/f.u. For the total moment, the calculation gives 0.00 μB per formula unit. The value obtained for the energy of formation is 0.056 eV per atom.

```
Tb6Dy3ZrSc2
1.0
6.0142 0.0035 0.0040
-3.0026 5.2111 0.0040
-1.0056 -1.7411 11.2939
Tb Dy Zr Sc
6 3 1 2
Cartesian
2.9970 1.7529 8.5965 Tb
2.0193 3.4964 2.7020 Tb
-0.9910 1.7205 2.7053 Tb
0.0205 3.4720 8.5965 Tb
-0.0133 -0.0229 8.5998 Tb
1.9855 0.0015 2.7053 Tb
-2.0034 3.4731 5.6509 Dy
4.0095 0.0004 5.6509 Dy
1.0030 1.7367 5.6509 Dy
0.0000 0.0000 0.0000 Zr
0.0009 3.4765 0.0040 Sc
3.0108 1.7381 0.0040 Sc
```